Here is a geometry-optimized NpZnMoO6 structure from Alexandria via LeMat-Bulk. Energies are from PBE with a Hubbard U.

The structure in POSCAR format:
```
NpZnMoO6
1.0
5.256 0.000 0.000
-2.628 4.552 0.000
0.000 0.000 9.308
Np Zn Mo O
2 2 2 12
Cartesian
0.000 3.035 2.327
2.628 1.517 6.981
0.000 3.035 6.981
2.628 1.517 2.327
0.000 0.000 0.000
0.000 0.000 4.654
-0.821 1.490 1.185
-1.748 3.096 3.469
0.821 1.490 3.469
-0.927 4.518 1.185
1.701 0.034 5.839
0.880 1.456 8.123
1.748 3.096 1.185
0.927 4.518 3.469
3.555 0.034 8.123
1.807 3.062 5.839
4.376 1.456 5.839
3.449 3.062 8.123
```

ρ: 7.4 Mg/m³
space-group type: No. 163
total magnetic moment: 3.000 μB per formula unit
VASP energy: -138.58 eV for the cell shown